The following is a PBE+U calculation of a geometry-optimized Tl3CoAg3F8 structure, from Alexandria via LeMat-Bulk.

abc: 12.603 7.270 7.547
angles: 90.00 124.02 90.00
Space group C2/m (No. 12)
Inequivalent atoms, fractional coordinates:
Tl 0.000 0.000 0.000 [2 per cell]
Tl 0.250 0.250 0.000 [4 per cell]
Co 0.000 0.000 0.500 [2 per cell]
Ag 0.000 0.500 0.500 [2 per cell]
Ag 0.250 0.250 0.500 [4 per cell]
F 0.008 0.207 0.315 [8 per cell]
F 0.199 0.000 0.684 [4 per cell]
F 0.235 0.500 0.708 [4 per cell]

Calculated values
E: -0.285 Ry per atom
M_tot: 3.029 μB/f.u.